Run A
Computed, not measured: a geometry-optimized ScCd2Ag5 structure at the PBE-GGA level of DFT.

Lattice parameters (Å, degrees): 6.341 6.341 4.999 90.00 90.00 90.00
Fractional positions:
1 Sc 0.000 0.000 0.000
2 Cd 0.000 0.500 0.500
3 Cd 0.500 0.000 0.500
4 Ag 0.000 0.000 0.500
5 Ag 0.291 0.291 0.000
6 Ag 0.291 0.709 0.000
7 Ag 0.709 0.291 0.000
8 Ag 0.709 0.709 0.000



Run B
Computed, not measured: a geometry-optimized ScCd2Ag5 structure at the PBE-GGA level of DFT.

Lattice parameters (Å, degrees): 7.367 6.931 5.033 74.12 64.81 41.07
Fractional positions:
1 Sc 0.000 0.000 0.000
2 Cd 0.254 0.254 0.746
3 Cd 0.746 0.746 0.254
4 Ag 0.123 0.123 0.377
5 Ag 0.377 0.377 0.123
6 Ag 0.500 0.500 0.500
7 Ag 0.623 0.623 0.877
8 Ag 0.877 0.877 0.623



Ranked by calculated energy, most stable first: run B, run A.



Run A
Computed, not measured: a geometry-optimized ScCd5Ag6 structure at the PBE-GGA level of DFT.

Lattice parameters (Å, degrees): 7.397 7.397 7.056 90.02 90.02 142.82
Fractional positions:
1 Sc 0.000 0.000 0.000
2 Cd 0.000 0.000 0.500
3 Cd 0.335 0.665 0.000
4 Cd 0.335 0.665 0.500
5 Cd 0.665 0.335 0.000
6 Cd 0.665 0.335 0.500
7 Ag 0.166 0.833 0.750
8 Ag 0.167 0.834 0.250
9 Ag 0.499 0.499 0.751
10 Ag 0.501 0.501 0.249
11 Ag 0.833 0.166 0.750
12 Ag 0.834 0.167 0.250



Run B
Computed, not measured: a geometry-optimized ScCd5Ag6 structure at the PBE-GGA level of DFT.

Lattice parameters (Å, degrees): 7.995 7.995 7.995 148.36 117.81 71.46
Fractional positions:
1 Sc 0.000 0.000 0.000
2 Cd 0.166 0.666 0.500
3 Cd 0.330 0.330 0.000
4 Cd 0.500 0.000 0.500
5 Cd 0.670 0.670 0.000
6 Cd 0.834 0.334 0.500
7 Ag 0.087 0.836 0.251
8 Ag 0.250 0.500 0.750
9 Ag 0.415 0.164 0.251
10 Ag 0.585 0.836 0.749
11 Ag 0.750 0.500 0.250
12 Ag 0.913 0.164 0.749



Ranked by calculated energy, most stable first: run A, run B.